A plane-wave DFT calculation with PBE was carried out for a geometry-optimized Li3Pr structure.

Unit cell a=7.377 b=7.377 c=7.377 alpha=90.00 beta=90.00 gamma=90.00
Fractional positions:
Li  0.000  0.000  0.000
Li  0.000  0.500  0.500
Li  0.250  0.250  0.250
Li  0.250  0.250  0.750
Li  0.250  0.750  0.250
Li  0.250  0.750  0.750
Li  0.500  0.000  0.500
Li  0.500  0.500  0.000
Li  0.750  0.250  0.250
Li  0.750  0.250  0.750
Li  0.750  0.750  0.250
Li  0.750  0.750  0.750
Pr  0.000  0.000  0.500
Pr  0.000  0.500  0.000
Pr  0.500  0.000  0.000
Pr  0.500  0.500  0.500

Summary:
Volume, Å³ per atom: 25.095
Electronic total energy, eV per formula unit: -9.7
Energy above the most stable polymorph in this dataset, meV/atom: 157
Total moment, μB per formula unit: 0.00
SG: No. 225